Compound: TaBe3Ni10
Source: Alexandria via LeMat-Bulk
Functional: GGA-PBE
Structure: optimized geometry

Cell lengths 10.709, 10.709, 10.709 Å; angles 90.00, 90.00, 90.00 degrees
Space group Fm-3m (No. 225)
Inequivalent atoms, fractional coordinates:
Ta 0.250 0.250 0.250 x8
Be 0.000 0.000 0.228 x24
Ni 0.000 0.171 0.329 x48
Ni 0.119 0.119 0.119 x32

Output
Formation energy from the elements = -0.148 eV per atom
E_tot = -5.923 eV per atom
M_tot = 0.12 μB/f.u.